Entry 1:
Compound: Dy4Cu2C
Source: Alexandria via LeMat-Bulk
Functional: GGA-PBE
Structure: optimized geometry

```
Dy4Cu2C
1.0
4.8769 0.0000 0.0000
0.0000 4.8769 0.0000
0.0000 0.0000 13.5568
Dy Cu C
8 4 2
Direct
0.0000 0.0000 0.1795
0.0000 0.0000 0.8205
0.0000 0.5000 0.0000
0.0000 0.5000 0.5000
0.5000 0.0000 0.0000
0.5000 0.0000 0.5000
0.5000 0.5000 0.3205
0.5000 0.5000 0.6795
0.0000 0.0000 0.3823
0.0000 0.0000 0.6177
0.5000 0.5000 0.1177
0.5000 0.5000 0.8823
0.0000 0.0000 0.0000
0.5000 0.5000 0.5000
```

Output
density of states at the Fermi level: 1.32 states/eV/atom
space-group type: I4/mmm
total moment: 0.0 μB/f.u.
formation energy from the elements: -100 meV/atom

Entry 2:
Compound: Dy2FeCuC
Source: Alexandria via LeMat-Bulk
Functional: GGA-PBE
Structure: optimized geometry

```
Dy2FeCuC
1.0
4.9297 0.0000 0.0000
0.0000 4.9297 0.0000
0.0000 0.0000 3.6271
Dy Fe Cu C
2 1 1 1
Direct
0.0000 0.5000 0.0000
0.5000 0.0000 0.0000
0.0000 0.0000 0.5000
0.5000 0.5000 0.5000
0.0000 0.0000 0.0000
```

Output
density of states at the Fermi level: 0.52 states/eV/atom
space-group type: P4/mmm
total moment: 0.1 μB/f.u.
formation energy from the elements: -271 meV/atom

Entry 3:
Compound: DyMnCuC
Source: Alexandria via LeMat-Bulk
Functional: GGA-PBE
Structure: optimized geometry

```
DyMnCuC
1.0
3.3545 0.0000 0.0000
0.0000 3.3545 0.0000
0.0000 0.0000 10.0158
Dy Mn Cu C
2 2 2 2
Direct
0.2500 0.2500 0.2458
0.7500 0.7500 0.7542
0.2500 0.7500 0.0000
0.7500 0.2500 0.0000
0.2500 0.7500 0.5000
0.7500 0.2500 0.5000
0.2500 0.2500 0.8832
0.7500 0.7500 0.1168
```

Output
density of states at the Fermi level: 0.57 states/eV/atom
space-group type: P4/nmm
total moment: 1.0 μB/f.u.
formation energy from the elements: -140 meV/atom

Entry 4:
Compound: DyCuCO4
Source: Alexandria via LeMat-Bulk
Functional: GGA-PBE
Structure: optimized geometry

```
DyCuCO4
1.0
-2.6662 3.7575 3.7873
2.6662 -3.7575 3.7873
2.6662 3.7575 -3.7873
Dy Cu C O
2 2 2 8
Direct
0.0000 0.0000 0.0000
0.5000 0.0000 0.5000
0.5000 0.0000 0.0000
0.5000 0.5000 0.5000
0.1311 0.3811 0.7500
0.8689 0.6189 0.2500
0.1055 0.7021 0.4034
0.2014 0.2979 0.9034
0.2593 0.2741 0.5148
0.2593 0.7445 0.9852
0.7407 0.2555 0.0148
0.7407 0.7259 0.4852
0.7986 0.7021 0.0966
0.8945 0.2979 0.5966
```

Output
space-group type: Imma
total moment: 0.0 μB/f.u.
raw formation energy: -1.657 eV/atom

Entry 5:
Compound: DySc2CuC
Source: Alexandria via LeMat-Bulk
Functional: GGA-PBE
Structure: optimized geometry

```
DySc2CuC
1.0
4.4281 0.0000 0.0000
0.0000 4.4281 0.0000
0.0000 0.0000 4.9807
Dy Sc Cu C
1 2 1 1
Direct
0.0000 0.0000 0.0000
0.0000 0.5000 0.5000
0.5000 0.0000 0.5000
0.5000 0.5000 0.0000
0.0000 0.0000 0.5000
```

Output
density of states at the Fermi level: 0.65 states/eV/atom
space-group type: P4/mmm
total moment: 0.0 μB/f.u.
formation energy from the elements: -240 meV/atom

Entry 6:
Compound: Er4Cu2C
Source: Alexandria via LeMat-Bulk
Functional: GGA-PBE
Structure: optimized geometry

```
Er4Cu2C
1.0
4.8046 0.0000 0.0000
0.0000 4.8046 0.0000
0.0000 0.0000 13.5470
Er Cu C
8 4 2
Direct
0.0000 0.0000 0.1786
0.0000 0.0000 0.8214
0.0000 0.5000 0.0000
0.0000 0.5000 0.5000
0.5000 0.0000 0.0000
0.5000 0.0000 0.5000
0.5000 0.5000 0.3214
0.5000 0.5000 0.6786
0.0000 0.0000 0.3801
0.0000 0.0000 0.6199
0.5000 0.5000 0.1199
0.5000 0.5000 0.8801
0.0000 0.0000 0.0000
0.5000 0.5000 0.5000
```

Output
density of states at the Fermi level: 1.36 states/eV/atom
space-group type: I4/mmm
total moment: 0.1 μB/f.u.
formation energy from the elements: -123 meV/atom

Entry 7:
Compound: Er2CuC
Source: Alexandria via LeMat-Bulk
Functional: GGA-PBE
Structure: optimized geometry

```
Er2CuC
1.0
3.6173 0.0000 0.0000
-1.8086 3.1326 0.0000
0.0000 0.0000 20.2603
Er Cu C
6 3 3
Direct
0.0000 0.0000 0.2317
0.0000 0.0000 0.7683
0.3333 0.6667 0.4350
0.3333 0.6667 0.8983
0.6667 0.3333 0.1017
0.6667 0.3333 0.5650
0.0000 0.0000 0.0000
0.3333 0.6667 0.6667
0.6667 0.3333 0.3333
0.0000 0.0000 0.5000
0.3333 0.6667 0.1667
0.6667 0.3333 0.8333
```

Output
density of states at the Fermi level: 0.71 states/eV/atom
space-group type: R-3m
total moment: 0.3 μB/f.u.
formation energy from the elements: -201 meV/atom

Entry 8:
Compound: ErCuC
Source: Alexandria via LeMat-Bulk
Functional: GGA-PBE
Structure: optimized geometry

```
ErCuC
1.0
3.4845 0.0000 0.0000
0.0000 3.4891 0.0000
-0.0085 0.0000 7.4141
Er Cu C
2 2 2
Direct
0.2499 0.2500 0.1681
0.7501 0.7500 0.8319
0.2510 0.2500 0.5797
0.7490 0.7500 0.4203
0.2501 0.2500 0.8424
0.7499 0.7500 0.1576
```

Output
density of states at the Fermi level: 0.62 states/eV/atom
space-group type: P2_1/m
total moment: 0.0 μB/f.u.
formation energy from the elements: 10 meV/atom

Entry 9:
Compound: Er12Cu3C5
Source: Alexandria via LeMat-Bulk
Functional: GGA-PBE
Structure: optimized geometry

```
Er12Cu3C5
1.0
-7.6626 7.6626 7.6626
7.6626 -7.6626 7.6626
7.6626 7.6626 -7.6626
Er Cu C
48 12 20
Direct
0.0239 0.2049 0.1184
0.0239 0.3190 0.9055
0.0865 0.7049 0.6810
0.0865 0.8816 0.4055
0.0945 0.6184 0.4135
0.0945 0.9761 0.6810
0.1184 0.0239 0.2049
0.1184 0.5945 0.9135
0.1810 0.2049 0.5865
0.1810 0.4761 0.5945
0.2049 0.1184 0.0239
0.2049 0.5865 0.1810
0.2951 0.3190 0.9135
0.2951 0.4761 0.3816
0.3190 0.9055 0.0239
0.3190 0.9135 0.2951
0.3816 0.2951 0.4761
0.3816 0.5865 0.9055
0.4055 0.0865 0.8816
0.4055 0.8190 0.5239
0.4135 0.0945 0.6184
0.4135 0.8190 0.7951
0.4761 0.3816 0.2951
0.4761 0.5945 0.1810
0.5239 0.4055 0.8190
0.5239 0.6184 0.7049
0.5865 0.1810 0.2049
0.5865 0.9055 0.3816
0.5945 0.1810 0.4761
0.5945 0.9135 0.1184
0.6184 0.4135 0.0945
0.6184 0.7049 0.5239
0.6810 0.0865 0.7049
0.6810 0.0945 0.9761
0.7049 0.5239 0.6184
0.7049 0.6810 0.0865
0.7951 0.4135 0.8190
0.7951 0.8816 0.9761
0.8190 0.5239 0.4055
0.8190 0.7951 0.4135
0.8816 0.4055 0.0865
0.8816 0.9761 0.7951
0.9055 0.0239 0.3190
0.9055 0.3816 0.5865
0.9135 0.1184 0.5945
0.9135 0.2951 0.3190
0.9761 0.6810 0.0945
0.9761 0.7951 0.8816
0.1250 0.2500 0.3750
0.1250 0.3750 0.7500
0.2500 0.3750 0.1250
0.2500 0.8750 0.6250
0.3750 0.1250 0.2500
0.3750 0.7500 0.1250
0.6250 0.2500 0.8750
0.6250 0.8750 0.7500
0.7500 0.1250 0.3750
0.7500 0.6250 0.8750
0.8750 0.6250 0.2500
0.8750 0.7500 0.6250
0.0000 0.0000 0.0000
0.0000 0.0000 0.5000
0.0000 0.5000 0.0000
0.0000 0.5000 0.5000
0.1250 0.7500 0.8750
0.1250 0.8750 0.2500
0.2500 0.1250 0.8750
0.2500 0.6250 0.3750
0.3750 0.2500 0.6250
0.3750 0.6250 0.7500
0.5000 0.0000 0.0000
0.5000 0.0000 0.5000
0.5000 0.5000 0.0000
0.5000 0.5000 0.5000
0.6250 0.3750 0.2500
0.6250 0.7500 0.3750
0.7500 0.3750 0.6250
0.7500 0.8750 0.1250
0.8750 0.1250 0.7500
0.8750 0.2500 0.1250
```

Output
density of states at the Fermi level: 0.87 states/eV/atom
space-group type: Ia-3d
total moment: 0.0 μB/f.u.
formation energy from the elements: -81 meV/atom

Entry 10:
Compound: ErFeCuC
Source: Alexandria via LeMat-Bulk
Functional: GGA-PBE
Structure: optimized geometry

```
ErFeCuC
1.0
3.3924 0.0000 0.0000
0.0000 3.3924 0.0000
0.0000 0.0000 9.5827
Er Fe Cu C
2 2 2 2
Direct
0.2500 0.2500 0.2415
0.7500 0.7500 0.7585
0.2500 0.7500 0.0000
0.7500 0.2500 0.0000
0.2500 0.7500 0.5000
0.7500 0.2500 0.5000
0.2500 0.2500 0.8952
0.7500 0.7500 0.1048
```

Output
density of states at the Fermi level: 0.78 states/eV/atom
space-group type: P4/nmm
total moment: 0.0 μB/f.u.
formation energy from the elements: -146 meV/atom

Entry 11:
Compound: Er2FeCuC
Source: Alexandria via LeMat-Bulk
Functional: GGA-PBE
Structure: optimized geometry

```
Er2FeCuC
1.0
4.8693 0.0000 0.0000
0.0000 4.8693 0.0000
0.0000 0.0000 3.6188
Er Fe Cu C
2 1 1 1
Direct
0.0000 0.5000 0.0000
0.5000 0.0000 0.0000
0.0000 0.0000 0.5000
0.5000 0.5000 0.5000
0.0000 0.0000 0.0000
```

Output
density of states at the Fermi level: 0.51 states/eV/atom
space-group type: P4/mmm
total moment: 0.0 μB/f.u.
formation energy from the elements: -300 meV/atom

Entry 12:
Compound: ErCuCO4
Source: Alexandria via LeMat-Bulk
Functional: GGA-PBE
Structure: optimized geometry

```
ErCuCO4
1.0
-2.6695 3.6982 3.7770
2.6695 -3.6982 3.7770
2.6695 3.6982 -3.7770
Er Cu C O
2 2 2 8
Direct
0.0000 0.0000 0.0000
0.5000 0.0000 0.5000
0.5000 0.0000 0.0000
0.5000 0.5000 0.5000
0.1287 0.3787 0.7500
0.8713 0.6213 0.2500
0.1101 0.7045 0.4056
0.2010 0.2955 0.9056
0.2581 0.2721 0.5140
0.2581 0.7440 0.9860
0.7419 0.2560 0.0140
0.7419 0.7279 0.4860
0.7990 0.7045 0.0944
0.8899 0.2955 0.5944
```

Output
space-group type: Imma
total moment: 0.0 μB/f.u.
raw formation energy: -1.659 eV/atom